No. 1
Tm6Co2Pb: relaxed, PBE.

Structure (POSCAR):
```
Tm6Co2Pb
1.0
-4.696 4.751 4.913
4.696 -4.751 4.913
4.696 4.751 -4.913
Co Pb Tm
4 2 12
Cartesian
0.000 3.604 0.000 Co
0.000 4.751 3.803 Co
4.696 0.000 1.110 Co
0.000 5.897 0.000 Co
0.000 0.000 0.000 Pb
0.000 0.000 4.913 Pb
-2.000 2.987 4.913 Tm
0.000 2.066 2.281 Tm
0.000 2.066 7.545 Tm
2.858 0.000 3.101 Tm
2.858 0.000 6.725 Tm
2.696 1.763 0.000 Tm
2.000 2.987 4.913 Tm
1.839 4.751 -1.812 Tm
1.839 4.751 1.812 Tm
4.696 2.684 -2.632 Tm
4.696 2.684 2.632 Tm
6.696 1.763 0.000 Tm
```

Computed properties:
Size of the total moment ... 0.0 Bohr magnetons per cell
Crystal system ... orthorhombic
Space-group type ... Immm (71)

---

No. 2
YCoPbW: relaxed, PBE.

Structure (POSCAR):
```
YCoPbW
1.0
0.000 3.386 3.386
3.386 0.000 3.386
3.386 3.386 0.000
Co Pb W Y
1 1 1 1
Cartesian
5.080 5.080 5.080 Co
0.000 0.000 0.000 Pb
1.693 1.693 1.693 W
3.386 3.386 3.386 Y
```

Computed properties:
Size of the total moment ... 2.4 Bohr magnetons per cell
Crystal system ... cubic
Energy relative to the lowest polymorph listed for this composition ... 0 meV per atom
Space-group type ... F-43m (216)

---

No. 3
YCoPbW: relaxed, PBE.

Structure (POSCAR):
```
YCoPbW
1.0
-3.171 2.252 2.812
-0.159 4.796 0.075
-3.726 2.308 -1.955
Co Pb W Y
1 1 1 1
Cartesian
-5.292 7.017 0.699 Co
0.000 0.000 0.000 Pb
-3.528 4.678 0.466 W
-1.764 2.339 0.233 Y
```

Computed properties:
Size of the total moment ... 3.7 Bohr magnetons per cell
Crystal system ... cubic
Energy relative to the lowest polymorph listed for this composition ... 82 meV per atom
Space-group type ... F-43m (216)

---

no.,final energy (eV per atom)
1,-5.281
2,-6.847
3,-6.765